Entry from Alexandria: crystalline K4Li3Nb18P12W2O84 at its relaxed geometry (GGA+U).

Cell lengths 10.630, 10.682, 15.860 Å; angles 90.00, 90.13, 90.00 degrees
Element x y z (fractional)
K  0.000  0.000  0.000
K  0.036  0.500  0.906
K  0.387  0.000  0.407
K  0.545  0.500  0.397
Li  0.321  0.000  0.863
Li  0.677  0.000  0.940
Li  0.817  0.000  0.437
Nb  0.072  0.322  0.125
Nb  0.072  0.678  0.125
Nb  0.178  0.000  0.193
Nb  0.327  0.000  0.681
Nb  0.363  0.319  0.981
Nb  0.363  0.681  0.981
Nb  0.436  0.322  0.624
Nb  0.436  0.678  0.624
Nb  0.575  0.325  0.181
Nb  0.575  0.675  0.181
Nb  0.640  0.319  0.826
Nb  0.640  0.681  0.826
Nb  0.668  0.000  0.123
Nb  0.832  0.000  0.619
Nb  0.868  0.319  0.325
Nb  0.868  0.681  0.325
Nb  0.931  0.323  0.682
Nb  0.931  0.677  0.682
P  0.118  0.000  0.519
P  0.221  0.266  0.780
P  0.221  0.734  0.780
P  0.290  0.271  0.281
P  0.290  0.729  0.281
P  0.383  0.000  0.023
P  0.619  0.000  0.781
P  0.720  0.265  0.522
P  0.720  0.735  0.522
P  0.787  0.264  0.023
P  0.787  0.736  0.023
P  0.885  0.000  0.281
W  0.149  0.319  0.478
W  0.149  0.681  0.478
O  0.009  0.300  0.400
O  0.009  0.700  0.400
O  0.031  0.000  0.275
O  0.036  0.500  0.126
O  0.060  0.303  0.574
O  0.060  0.697  0.574
O  0.080  0.292  0.757
O  0.080  0.708  0.757
O  0.106  0.132  0.132
O  0.106  0.868  0.132
O  0.143  0.500  0.472
O  0.168  0.000  0.612
O  0.171  0.118  0.474
O  0.171  0.882  0.474
O  0.190  0.330  0.036
O  0.190  0.670  0.036
O  0.205  0.340  0.217
O  0.205  0.660  0.217
O  0.239  0.318  0.869
O  0.239  0.682  0.869
O  0.246  0.124  0.776
O  0.246  0.876  0.776
O  0.264  0.313  0.372
O  0.264  0.687  0.372
O  0.274  0.128  0.273
O  0.274  0.872  0.273
O  0.303  0.335  0.715
O  0.303  0.665  0.715
O  0.314  0.329  0.536
O  0.314  0.671  0.536
O  0.333  0.000  0.115
O  0.334  0.114  0.972
O  0.334  0.886  0.972
O  0.371  0.500  0.977
O  0.404  0.131  0.626
O  0.404  0.869  0.626
O  0.430  0.305  0.264
O  0.430  0.695  0.264
O  0.449  0.293  0.080
O  0.449  0.707  0.080
O  0.466  0.500  0.624
O  0.473  0.000  0.775
O  0.500  0.296  0.900
O  0.500  0.704  0.900
O  0.530  0.000  0.026
O  0.540  0.500  0.169
O  0.560  0.295  0.723
O  0.560  0.705  0.723
O  0.578  0.291  0.541
O  0.578  0.709  0.541
O  0.596  0.133  0.177
O  0.596  0.867  0.177
O  0.633  0.500  0.829
O  0.666  0.114  0.833
O  0.666  0.886  0.833
O  0.676  0.000  0.691
O  0.691  0.336  0.268
O  0.691  0.664  0.268
O  0.710  0.333  0.091
O  0.710  0.667  0.091
O  0.745  0.123  0.527
O  0.745  0.317  0.434
O  0.745  0.683  0.434
O  0.745  0.877  0.527
O  0.761  0.121  0.028
O  0.761  0.879  0.028
O  0.762  0.315  0.935
O  0.762  0.685  0.935
O  0.799  0.335  0.590
O  0.799  0.665  0.590
O  0.816  0.329  0.769
O  0.816  0.671  0.769
O  0.831  0.000  0.189
O  0.838  0.115  0.332
O  0.838  0.885  0.332
O  0.875  0.500  0.329
O  0.911  0.133  0.670
O  0.911  0.867  0.670
O  0.931  0.283  0.041
O  0.931  0.717  0.041
O  0.947  0.293  0.223
O  0.947  0.707  0.223
O  0.967  0.500  0.674
O  0.973  0.000  0.520

Summary:
E: -986.1 eV per cell
SG: Pm (6)
Spin magnetization: 1.00 Bohr magnetons per cell